Here is a relaxed Y2WO2 crystal from Alexandria via LeMat-Bulk. Energies are from PBE with a Hubbard U.

## Properties
Calculated total energy in Ry per atom: -0.4977
Size of the total moment in μB per atom: 0.937

Structure (CIF):
```
data_Y2WO2
_symmetry_space_group_name_H-M 'P 4/m b m'
_symmetry_Int_Tables_number 127
_symmetry_space_group_name_Hall '-P 4 2ab'
_cell_length_a 7.7189
_cell_length_b 7.7189
_cell_length_c 3.0609
_cell_angle_alpha 90.00
_cell_angle_beta 90.00
_cell_angle_gamma 90.00
loop_
_atom_site_label
_atom_site_fract_x
_atom_site_fract_y
_atom_site_fract_z
Y1 0.1369 0.3631 0.0000
W1 0.0000 0.0000 0.0000
O1 0.1131 0.6131 0.5000
```